The following is a PBE calculation of crystalline CsScPtSe3 at its relaxed geometry, from OQMD via LeMat-Bulk.

The size of the total moment comes out at 0.00 μB per formula unit. The calculation puts the energy above the most stable polymorph in this dataset at 0.000 eV/f.u.

It has space group P2_1/m (No. 11), with a = 9.164 Å, b = 3.927 Å, c = 10.592 Å, α = 90.00°, β = 114.76° and γ = 90.00°. The inequivalent atoms are Cs at (0.228, 0.250, 0.264), Sc at (0.343, 0.750, 0.852), Pt at (0.099, 0.250, 0.576), Se at (0.127, 0.250, 0.825), Se at (0.263, 0.750, 0.573) and Se at (0.443, 0.750, 0.128).

The following is a PBE calculation of crystalline CsScPtSe3 at its relaxed geometry, from OQMD via LeMat-Bulk.

The size of the total moment comes out at 0.00 μB per formula unit. The calculation puts the energy above the most stable polymorph in this dataset at 0.106 eV/f.u.

It has space group Cmcm (No. 63), with a = 3.902 Å, b = 16.541 Å, c = 10.045 Å, α = 90.00°, β = 90.00° and γ = 90.00°. The inequivalent atoms are Cs at (0.000, 0.248, 0.250), Sc at (0.000, 0.000, 0.000), Pt at (0.000, 0.476, 0.750), Se at (0.000, 0.070, 0.750) and Se at (0.000, 0.386, 0.550).

The following is a PBE calculation of crystalline CsPt3Se5 at its relaxed geometry, from OQMD via LeMat-Bulk.

The value obtained for the total energy is -39.6 eV per cell. The size of the total moment comes out at 0.00 μB per formula unit.

It has space group P6/mmm (No. 191), with a = 6.2271 Å, b = 6.2271 Å, c = 7.1822 Å, α = 90.00°, β = 90.00° and γ = 120.00°. The inequivalent atoms are Cs at (0.0000, 0.0000, 0.0000), Pt at (0.0000, 0.5000, 0.5000), Se at (0.0000, 0.0000, 0.5000) and Se at (0.3333, 0.6667, 0.2612).

The following is a PBE calculation of crystalline Cs2TePtSe at its relaxed geometry, from OQMD via LeMat-Bulk.

The value obtained for the total energy is -37.3 eV per cell. The size of the total moment comes out at 0.00 μB per formula unit.

It has space group Imm2 (No. 44), with a = 3.989 Å, b = 11.095 Å, c = 8.124 Å, α = 90.00°, β = 90.00° and γ = 90.00°. The inequivalent atoms are Cs at (0.000, 0.197, 0.000), Te at (0.000, 0.500, 0.805), Pt at (0.000, 0.000, 0.519) and Se at (0.000, 0.500, 0.216).

The following is a PBE calculation of crystalline CsTmPtSe3 at its relaxed geometry, from OQMD via LeMat-Bulk.

The size of the total moment comes out at 0.00 μB per formula unit. The calculation puts the energy above the most stable polymorph in this dataset at 0.025 eV/f.u.

It has space group Cmcm (No. 63), with a = 4.008 Å, b = 16.743 Å, c = 10.272 Å, α = 90.00°, β = 90.00° and γ = 90.00°. The inequivalent atoms are Cs at (0.000, 0.249, 0.250), Tm at (0.000, 0.000, 0.000), Pt at (0.000, 0.482, 0.750), Se at (0.000, 0.074, 0.750) and Se at (0.000, 0.385, 0.562).

The following is a PBE calculation of crystalline CsTmPtSe3 at its relaxed geometry, from OQMD via LeMat-Bulk.

The size of the total moment comes out at 0.00 μB per formula unit. The calculation puts the energy above the most stable polymorph in this dataset at 0.000 eV/f.u.

It has space group P2_1/m (No. 11), with a = 9.497 Å, b = 4.031 Å, c = 10.406 Å, α = 90.00°, β = 113.25° and γ = 90.00°. The inequivalent atoms are Cs at (0.215, 0.250, 0.245), Tm at (0.336, 0.750, 0.850), Pt at (0.094, 0.250, 0.573), Se at (0.120, 0.250, 0.829), Se at (0.238, 0.750, 0.553) and Se at (0.453, 0.750, 0.142).

The following is a PBE calculation of crystalline CsSnPt at its relaxed geometry, from OQMD via LeMat-Bulk.

The size of the total moment comes out at 0.00 μB per formula unit. The calculation puts the energy above the most stable polymorph in this dataset at 0.000 eV/f.u.

It has space group P-1 (No. 2), with a = 4.723 Å, b = 5.100 Å, c = 8.702 Å, α = 94.48°, β = 90.22° and γ = 90.14°. The inequivalent atoms are Cs at (0.247, 0.260, 0.166), Sn at (0.250, 0.185, 0.622) and Pt at (0.251, 0.671, 0.498).

The following is a PBE calculation of crystalline CsSnPt at its relaxed geometry, from OQMD via LeMat-Bulk.

The size of the total moment comes out at 0.01 μB per formula unit. The calculation puts the energy above the most stable polymorph in this dataset at 4.592 eV/f.u.

It has space group F-43m (No. 216), with a = 7.568 Å, b = 7.568 Å, c = 7.568 Å, α = 90.00°, β = 90.00° and γ = 90.00°. The inequivalent atoms are Cs at (0.000, 0.000, 0.000), Sn at (0.250, 0.250, 0.250) and Pt at (0.250, 0.250, 0.750).

The following is a PBE calculation of crystalline CsSn5Pt3 at its relaxed geometry, from OQMD via LeMat-Bulk.

The value obtained for the total energy is -41.7 eV per cell. The size of the total moment comes out at 0.00 μB per formula unit.

It has space group P6/mmm (No. 191), with a = 5.5865 Å, b = 5.5865 Å, c = 9.2177 Å, α = 90.00°, β = 90.00° and γ = 120.00°. The inequivalent atoms are Cs at (0.0000, 0.0000, 0.0000), Sn at (0.0000, 0.0000, 0.5000), Sn at (0.3333, 0.6667, 0.2415) and Pt at (0.0000, 0.5000, 0.5000).

The following is a PBE calculation of crystalline CsSnPt at its relaxed geometry, from OQMD via LeMat-Bulk.

The size of the total moment comes out at 0.00 μB per formula unit. The calculation puts the energy above the most stable polymorph in this dataset at 2.232 eV/f.u.

It has space group F-43m (No. 216), with a = 7.318 Å, b = 7.318 Å, c = 7.318 Å, α = 90.00°, β = 90.00° and γ = 90.00°. The inequivalent atoms are Cs at (0.000, 0.000, 0.000), Sn at (0.000, 0.000, 0.500) and Pt at (0.250, 0.250, 0.250).

The following is a PBE calculation of crystalline Cs2Ta2Pt3 at its relaxed geometry, from OQMD via LeMat-Bulk.

The value obtained for the total energy is -132.7 eV per cell. The size of the total moment comes out at 0.01 μB per formula unit.

It has space group R3m (No. 160, hexagonal axes), with a = 4.5187 Å, b = 4.5187 Å, c = 35.2680 Å, α = 90.00°, β = 90.00° and γ = 120.00°. The inequivalent atoms are Cs at (0.0000, 0.0000, 0.0000), Cs at (0.0000, 0.0000, 0.4238), Ta at (0.0000, 0.0000, 0.1883), Ta at (0.0000, 0.0000, 0.5846), Pt at (0.0000, 0.0000, 0.2635), Pt at (0.0000, 0.0000, 0.5123) and Pt at (0.0000, 0.0000, 0.8881).

The following is a PBE calculation of crystalline CsTbTe3Pt at its relaxed geometry, from OQMD via LeMat-Bulk.

The value obtained for the total energy is -106.9 eV per cell. The size of the total moment comes out at 0.00 μB per formula unit.

It has space group Cmcm (No. 63), with a = 4.299 Å, b = 18.696 Å, c = 10.605 Å, α = 90.00°, β = 90.00° and γ = 90.00°. The inequivalent atoms are Cs at (0.000, 0.250, 0.250), Tb at (0.000, 0.000, 0.000), Te at (0.000, 0.082, 0.750), Te at (0.000, 0.389, 0.579) and Pt at (0.000, 0.493, 0.750).

It is found that the calculated volume values, taken in the order of the records, are 28.85, 27.02, 26.80, 35.96, 28.72, 30.50, 34.83, 36.12, 27.68, 32.66, 29.70, 35.52 Å³ per atom.